Below is crystalline Li2Ru3 at its relaxed geometry, with properties calculated at the PBE level.

```
Li2Ru3
1.0
-10.2655 -4.9681 0.1721
-9.7799 -5.1553 2.8053
-10.8775 -2.9223 1.7984
Li Ru
2 3
Cartesian
-18.5790 -7.8380 2.8693
-12.3440 -5.2076 1.9064
0.0000 0.0000 0.0000
-6.0999 -2.5734 0.9421
-24.8231 -10.4723 3.8337
```

- Theoretical density: 7.5 Mg/m³
- Energy relative to the lowest polymorph listed for this composition: 0 meV/atom
- Space group: No. 166
- E_form: 0.219 eV/atom
- Crystal system: trigonal

Below is crystalline SmNbZn at its relaxed geometry, with properties calculated at the PBE level.

```
SmNbZn
1.0
4.3938 0.0000 0.0000
-2.1969 2.1897 0.0000
0.0000 0.0000 13.1609
Nb Sm Zn
2 2 2
Cartesian
2.1969 0.8515 4.7896
2.1969 0.8515 8.3713
0.0000 0.8513 2.3147
0.0000 0.8513 10.8462
0.0000 0.8518 6.5804
2.1969 0.8517 0.0000
```

- Theoretical density: 8.1 Mg/m³
- Space group: No. 65
- E_form: 0.124 eV/atom
- Crystal system: orthorhombic

Below is crystalline MnZnAg2 at its relaxed geometry, with properties calculated at the PBE level.

```
MnZnAg2
1.0
-0.5819 2.0317 -4.0041
-0.5262 -2.4882 -3.7458
-4.0288 -0.1673 -2.0591
Mn Ag Zn
1 2 1
Cartesian
-2.5685 -0.3119 -4.9045
0.0000 0.0000 0.0000
-3.8527 -0.4678 -7.3567
-1.2842 -0.1559 -2.4522
```

- Theoretical density: 8.5 Mg/m³
- Space group: No. 216
- E_form: 0.157 eV/atom
- Crystal system: cubic

Below is crystalline Cs2KNiH4 at its relaxed geometry, with properties calculated at the PBE level.

```
Cs2KNiH4
1.0
-2.0912 5.0359 1.3039
-6.3925 -0.5407 3.8894
5.4251 2.4536 11.2780
H Ni Cs K
8 2 4 2
Cartesian
-1.8029 5.0288 14.4137
-2.4533 1.8655 7.5073
-1.2167 1.6175 9.3154
-0.6981 2.5767 6.4427
-1.3541 2.1567 2.1189
-5.9913 2.3272 4.9438
0.3420 2.8020 8.3734
3.0309 4.3850 11.4663
-1.0456 2.5179 0.6520
-1.0065 2.2154 7.9097
3.1690 2.4761 7.5731
0.2039 4.7109 12.2665
-4.3082 4.7558 4.8568
0.1648 5.0135 5.0088
0.0000 0.0000 0.0000
-2.0521 4.7334 8.5617
```

- Theoretical density: 2.5 Mg/m³
- Space group: No. 70
- Uncorrected energy: -2.754 eV per atom
- Crystal system: orthorhombic

Below is crystalline RbCl5 at its relaxed geometry, with properties calculated at the PBE level.

```
RbCl5
1.0
-3.6937 4.9964 1.6173
-1.4030 -4.3313 -2.5679
6.5126 0.8400 12.2788
Cl Rb
5 1
Cartesian
-0.2028 2.0382 5.9849
2.9591 2.7557 10.9894
-2.3799 1.9742 1.2100
3.3652 0.0395 7.5635
-1.4047 2.1048 3.0340
5.4825 0.6855 10.4036
```

- Theoretical density: 1.9 Mg/m³
- Space group: No. 8
- ΔE_f (raw): -0.68 eV/atom
- Crystal system: monoclinic

Below is crystalline PmHoTlHg at its relaxed geometry, with properties calculated at the PBE level.

```
PmHoTlHg
1.0
-4.5334 -1.2299 2.6138
-0.9944 -5.0919 1.4071
0.1882 -1.4443 5.1744
Pm Ho Hg Tl
1 1 1 1
Cartesian
-4.0046 -5.8245 6.8965
-1.3349 -1.9415 2.2988
-2.6697 -3.8830 4.5977
0.0000 0.0000 0.0000
```

- Theoretical density: 10.8 Mg/m³
- Energy relative to the lowest polymorph listed for this composition: 7 meV/atom
- Space group: No. 216
- E_form: -0.414 eV/atom
- Crystal system: cubic